w.
The following is a PBE-GGA calculation of a geometry-optimized ReTc4Rh structure, from the Alexandria database.

Geometry as POSCAR:
```
ReTc4Rh
1.0
0.0000 3.5691 3.5691
3.5691 0.0000 3.5691
3.5691 3.5691 0.0000
Re Tc Rh
1 4 1
Direct
0.0000 0.0000 0.0000
0.3759 0.3759 0.3759
0.3759 0.3759 0.8723
0.3759 0.8723 0.3759
0.8723 0.3759 0.3759
0.7500 0.7500 0.7500
```

SG: F-43m (216)
D(E_F): 7.0 states/eV per cell
magnetic moment: 0.0 μB/cell

=====

x.
The following is a PBE-GGA calculation of a geometry-optimized ReTc4Rh structure, from the Alexandria database.

Geometry as POSCAR:
```
ReTc4Rh
1.0
-2.1565 5.4407 3.7792
2.1565 -5.4407 3.7792
2.1565 5.4407 -3.7792
Re Tc Rh
2 8 2
Direct
0.4129 0.1629 0.2500
0.5871 0.8371 0.7500
0.1303 0.5031 0.6272
0.1669 0.1672 0.9997
0.3325 0.8328 0.4997
0.3759 0.5031 0.8728
0.6241 0.4969 0.1272
0.6675 0.1672 0.5003
0.8331 0.8328 0.0003
0.8697 0.4969 0.3728
0.0853 0.8353 0.2500
0.9147 0.1647 0.7500
```

SG: Imma (74)
D(E_F): 8.6 states/eV per cell
magnetic moment: 0.0 μB/cell

=====

Which structure is the most stable? The one labeled x.

=====

w.
The following is a PBE-GGA calculation of a geometry-optimized ReTcRh4 structure, from the Alexandria database.

Geometry as POSCAR:
```
ReTcRh4
1.0
2.7271 0.0000 0.0000
0.0000 2.7271 0.0000
0.0000 0.0000 11.5739
Re Tc Rh
1 1 4
Direct
0.0000 0.0000 0.0000
0.5000 0.5000 0.5000
0.0000 0.0000 0.3389
0.0000 0.0000 0.6611
0.5000 0.5000 0.1618
0.5000 0.5000 0.8382
```

SG: P4/mmm (123)
D(E_F): 4.2 states/eV per cell
magnetic moment: 0.0 μB/cell

=====

x.
The following is a PBE-GGA calculation of a geometry-optimized ReTcRh4 structure, from the Alexandria database.

Geometry as POSCAR:
```
ReTcRh4
1.0
0.0000 3.5471 3.5471
3.5471 0.0000 3.5471
3.5471 3.5471 0.0000
Re Tc Rh
1 1 4
Direct
0.0000 0.0000 0.0000
0.2500 0.2500 0.2500
0.1251 0.6250 0.6250
0.6250 0.1251 0.6250
0.6250 0.6250 0.1251
0.6250 0.6250 0.6250
```

SG: F-43m (216)
D(E_F): 9.6 states/eV per cell
magnetic moment: 0.0 μB/cell

=====

Which structure is the most stable? The one labeled w.

=====

w.
The following is a PBE-GGA calculation of a geometry-optimized Re4Tc2Rh structure, from the Alexandria database.

Geometry as POSCAR:
```
Re4Tc2Rh
1.0
-3.7010 3.7010 4.2799
3.7010 -3.7010 4.2799
3.7010 3.7010 -4.2799
Re Tc Rh
8 4 2
Direct
0.0198 0.5198 0.2053
0.1854 0.9802 0.5000
0.3146 0.8146 0.7947
0.4802 0.6854 0.5000
0.5198 0.3146 0.5000
0.6854 0.1854 0.2053
0.8146 0.0198 0.5000
0.9802 0.4802 0.7947
0.1511 0.3489 0.5000
0.3489 0.8489 0.1979
0.6511 0.1511 0.8021
0.8489 0.6511 0.5000
0.2500 0.2500 0.0000
0.7500 0.7500 0.0000
```

SG: I4/mcm (140)
D(E_F): 11.6 states/eV per cell
magnetic moment: 0.0 μB/cell

=====

x.
The following is a PBE-GGA calculation of a geometry-optimized Re4Tc2Rh structure, from the Alexandria database.

Geometry as POSCAR:
```
Re4Tc2Rh
1.0
-2.3011 2.3011 6.2927
2.3011 -2.3011 6.2927
2.3011 2.3011 -6.2927
Re Tc Rh
4 2 1
Direct
0.0000 0.5000 0.5000
0.2040 0.2040 0.0000
0.5000 0.0000 0.5000
0.7960 0.7960 0.0000
0.3863 0.3863 0.0000
0.6137 0.6137 0.0000
0.0000 0.0000 0.0000
```

SG: I4/mmm (139)
D(E_F): 8.2 states/eV per cell
magnetic moment: 0.9 μB/cell

=====

Which structure is the most stable? The one labeled w.

=====

w.
The following is a PBE-GGA calculation of a geometry-optimized ReTe3Rh structure, from the Alexandria database.

Geometry as POSCAR:
```
ReTe3Rh
1.0
5.1735 0.0000 0.0000
0.0000 5.1735 0.0000
0.0000 0.0000 5.1735
Re Te Rh
1 3 1
Direct
0.0000 0.0000 0.0000
0.0000 0.0000 0.5000
0.0000 0.5000 0.0000
0.5000 0.0000 0.0000
0.5000 0.5000 0.5000
```

SG: Pm-3m (221)
D(E_F): 6.1 states/eV per cell
magnetic moment: 1.0 μB/cell

=====

x.
The following is a PBE-GGA calculation of a geometry-optimized ReTe3Rh structure, from the Alexandria database.

Geometry as POSCAR:
```
ReTe3Rh
1.0
5.1591 0.0000 0.0000
0.0000 5.1591 0.0000
0.0000 0.0000 5.1591
Re Te Rh
1 3 1
Direct
0.0000 0.0000 0.0000
0.0000 0.5000 0.5000
0.5000 0.0000 0.5000
0.5000 0.5000 0.0000
0.5000 0.5000 0.5000
```

SG: Pm-3m (221)
D(E_F): 6.0 states/eV per cell
magnetic moment: 3.2 μB/cell

=====

Which structure is the most stable? The one labeled w.

=====

w.
The following is a PBE-GGA calculation of a geometry-optimized Ti4ReRh structure, from the Alexandria database.

Geometry as POSCAR:
```
Ti4ReRh
1.0
3.1296 0.0000 0.0000
0.0000 3.1296 0.0000
0.0000 0.0000 9.5699
Ti Re Rh
4 1 1
Direct
0.0000 0.0000 0.1562
0.0000 0.0000 0.8438
0.5000 0.5000 0.3395
0.5000 0.5000 0.6605
0.5000 0.5000 0.0000
0.0000 0.0000 0.5000
```

SG: P4/mmm (123)
D(E_F): 9.2 states/eV per cell
magnetic moment: 0.0 μB/cell

=====

x.
The following is a PBE-GGA calculation of a geometry-optimized Ti4ReRh structure, from the Alexandria database.

Geometry as POSCAR:
```
Ti4ReRh
1.0
2.1543 1.2438 6.9033
-2.1543 1.2438 6.9033
0.0000 -2.4875 6.9033
Ti Re Rh
4 1 1
Direct
0.1240 0.1240 0.1240
0.3741 0.3741 0.3741
0.6259 0.6259 0.6259
0.8760 0.8760 0.8760
0.0000 0.0000 0.0000
0.5000 0.5000 0.5000
```

SG: R-3m (166)
D(E_F): 9.2 states/eV per cell
magnetic moment: 0.0 μB/cell

=====

Which structure is the most stable? The one labeled w.

=====

w.
The following is a PBE-GGA calculation of a geometry-optimized Ti2ReRh structure, from the Alexandria database.

Geometry as POSCAR:
```
Ti2ReRh
1.0
-2.8175 2.8175 5.5855
2.8175 -2.8175 5.5855
2.8175 2.8175 -5.5855
Ti Re Rh
4 2 2
Direct
0.1225 0.6250 0.9975
0.3750 0.3725 0.4975
0.6275 0.1250 0.0025
0.8750 0.8775 0.5025
0.0000 0.0000 0.0000
0.7500 0.2500 0.5000
0.2500 0.7500 0.5000
0.5000 0.5000 0.0000
```

SG: I-42d (122)
D(E_F): 0.9 states/eV per cell
magnetic moment: 0.0 μB/cell

=====

x.
The following is a PBE-GGA calculation of a geometry-optimized Ti2ReRh structure, from the Alexandria database.

Geometry as POSCAR:
```
Ti2ReRh
1.0
3.1165 0.0000 0.0000
0.0000 3.1165 0.0000
0.0000 0.0000 6.2004
Ti Re Rh
2 1 1
Direct
0.0000 0.0000 0.2440
0.0000 0.0000 0.7560
0.5000 0.5000 0.0000
0.5000 0.5000 0.5000
```

SG: P4/mmm (123)
D(E_F): 1.6 states/eV per cell
magnetic moment: 0.0 μB/cell

=====

y.
The following is a PBE-GGA calculation of a geometry-optimized Ti2ReRh structure, from the Alexandria database.

Geometry as POSCAR:
```
Ti2ReRh
1.0
0.0000 3.1066 3.1066
3.1066 0.0000 3.1066
3.1066 3.1066 0.0000
Ti Re Rh
2 1 1
Direct
0.2500 0.2500 0.2500
0.7500 0.7500 0.7500
0.0000 0.0000 0.0000
0.5000 0.5000 0.5000
```

SG: Fm-3m (225)
D(E_F): 0.9 states/eV per cell
magnetic moment: 0.0 μB/cell

=====

Which structure is the most stable? The one labeled x.

=====

w.
The following is a PBE-GGA calculation of a geometry-optimized TlReRh structure, from the Alexandria database.

Geometry as POSCAR:
```
TlReRh
1.0
2.9310 0.0000 0.0000
-1.4655 2.5383 0.0000
0.0000 0.0000 7.0007
Tl Re Rh
1 1 1
Direct
0.0000 0.0000 0.0000
0.6667 0.3333 0.3657
0.3333 0.6667 0.6503
```

SG: P3m1 (156)
D(E_F): 3.1 states/eV per cell
magnetic moment: 0.0 μB/cell

=====

x.
The following is a PBE-GGA calculation of a geometry-optimized TlReRh structure, from the Alexandria database.

Geometry as POSCAR:
```
TlReRh
1.0
0.0000 3.0819 3.0819
3.0819 0.0000 3.0819
3.0819 3.0819 0.0000
Tl Re Rh
1 1 1
Direct
0.0000 0.0000 0.0000
0.5000 0.5000 0.5000
0.7500 0.7500 0.7500
```

SG: F-43m (216)
D(E_F): 2.1 states/eV per cell
magnetic moment: 1.0 μB/cell

=====

Which structure is the most stable? The one labeled w.

=====

w.
The following is a PBE-GGA calculation of a geometry-optimized VRe2Rh structure, from the Alexandria database.

Geometry as POSCAR:
```
VRe2Rh
1.0
0.0000 3.0750 3.0750
3.0750 0.0000 3.0750
3.0750 3.0750 0.0000
V Re Rh
1 2 1
Direct
0.0000 0.0000 0.0000
0.2500 0.2500 0.2500
0.7500 0.7500 0.7500
0.5000 0.5000 0.5000
```

SG: Fm-3m (225)
D(E_F): 7.0 states/eV per cell
magnetic moment: 1.0 μB/cell

=====

x.
The following is a PBE-GGA calculation of a geometry-optimized VRe2Rh structure, from the Alexandria database.

Geometry as POSCAR:
```
VRe2Rh
1.0
3.8196 0.0000 0.0000
0.0000 3.8196 0.0000
0.0000 0.0000 3.9453
V Re Rh
1 2 1
Direct
0.0000 0.0000 0.0000
0.0000 0.5000 0.5000
0.5000 0.0000 0.5000
0.5000 0.5000 0.0000
```

SG: P4/mmm (123)
D(E_F): 5.2 states/eV per cell
magnetic moment: 0.0 μB/cell

=====

Which structure is the most stable? The one labeled x.

=====

w.
The following is a PBE-GGA calculation of a geometry-optimized ReRhW2 structure, from the Alexandria database.

Geometry as POSCAR:
```
ReRhW2
1.0
2.8170 -3.9233 0.0000
2.8170 3.9233 0.0000
0.0000 0.0000 2.7824
Re Rh W
1 1 2
Direct
0.0000 0.0000 0.0000
0.5000 0.5000 0.0000
0.0000 0.5000 0.5000
0.5000 0.0000 0.5000
```

SG: Cmmm (65)
D(E_F): 3.1 states/eV per cell
magnetic moment: 0.0 μB/cell

=====

x.
The following is a PBE-GGA calculation of a geometry-optimized ReRhW2 structure, from the Alexandria database.

Geometry as POSCAR:
```
ReRhW2
1.0
4.6362 -1.3812 0.0000
4.6362 1.3812 0.0000
-0.7867 0.0000 4.8100
Re Rh W
1 1 2
Direct
0.0000 0.0000 0.0000
0.7407 0.7407 0.2508
0.2449 0.2449 0.7571
0.4872 0.4872 0.4871
```

SG: Cm (8)
D(E_F): 3.1 states/eV per cell
magnetic moment: 0.0 μB/cell

=====

Which structure is the most stable? The one labeled w.

=====

w.
The following is a PBE-GGA calculation of a geometry-optimized ReRhW2 structure, from the Alexandria database.

Geometry as POSCAR:
```
ReRhW2
1.0
0.0000 3.1463 3.1463
3.1463 0.0000 3.1463
3.1463 3.1463 0.0000
Re Rh W
1 1 2
Direct
0.0000 0.0000 0.0000
0.2500 0.2500 0.2500
0.5000 0.5000 0.5000
0.7500 0.7500 0.7500
```

SG: F-43m (216)
D(E_F): 7.0 states/eV per cell
magnetic moment: 0.8 μB/cell

=====

x.
The following is a PBE-GGA calculation of a geometry-optimized ReRhW2 structure, from the Alexandria database.

Geometry as POSCAR:
```
ReRhW2
1.0
1.3922 0.8038 9.2125
-1.3922 0.8038 9.2125
0.0000 -1.6076 9.2125
Re Rh W
1 1 2
Direct
0.0000 0.0000 0.0000
0.5000 0.5000 0.5000
0.2483 0.2483 0.2483
0.7517 0.7517 0.7517
```

SG: R-3m (166)
D(E_F): 6.6 states/eV per cell
magnetic moment: 0.0 μB/cell

=====

y.
The following is a PBE-GGA calculation of a geometry-optimized ReRhW2 structure, from the Alexandria database.

Geometry as POSCAR:
```
ReRhW2
1.0
-1.9870 1.9870 3.8942
1.9870 -1.9870 3.8942
1.9870 1.9870 -3.8942
Re Rh W
1 1 2
Direct
0.0000 0.0000 0.0000
0.5000 0.5000 0.0000
0.2500 0.7500 0.5000
0.7500 0.2500 0.5000
```

SG: I4/mmm (139)
D(E_F): 4.2 states/eV per cell
magnetic moment: 0.0 μB/cell

=====

z.
The following is a PBE-GGA calculation of a geometry-optimized ReRhW2 structure, from the Alexandria database.

Geometry as POSCAR:
```
ReRhW2
1.0
1.6650 -2.1634 0.0000
1.6650 2.1634 0.0000
0.0000 0.0000 8.5588
Re Rh W
1 1 2
Direct
0.0000 0.0000 0.0000
0.0000 0.0000 0.5000
0.5000 0.5000 0.2550
0.5000 0.5000 0.7450
```

SG: Cmmm (65)
D(E_F): 3.6 states/eV per cell
magnetic moment: 0.0 μB/cell

=====

Which structure is the most stable? The one labeled y.

=====

w.
The following is a PBE-GGA calculation of a geometry-optimized ReRhW2 structure, from the Alexandria database.

Geometry as POSCAR:
```
ReRhW2
1.0
2.6999 0.0000 0.0000
0.0000 4.0322 0.0000
0.0000 0.0000 5.6899
Re Rh W
1 1 2
Direct
0.0000 0.0000 0.0000
0.5000 0.5000 0.2422
0.0000 0.0000 0.4788
0.5000 0.5000 0.7500
```

SG: Pmm2 (25)
D(E_F): 3.2 states/eV per cell
magnetic moment: 0.0 μB/cell

=====

x.
The following is a PBE-GGA calculation of a geometry-optimized ReRhW2 structure, from the Alexandria database.

Geometry as POSCAR:
```
ReRhW2
1.0
3.2504 0.0000 0.0000
0.0000 3.2504 0.0000
0.0000 0.0000 5.9197
Re Rh W
1 1 2
Direct
0.0000 0.0000 0.0000
0.5000 0.5000 0.2859
0.0000 0.0000 0.4992
0.5000 0.5000 0.7741
```

SG: P4mm (99)
D(E_F): 5.0 states/eV per cell
magnetic moment: 0.0 μB/cell

=====

Which structure is the most stable? The one labeled w.

=====

w.
The following is a PBE-GGA calculation of a geometry-optimized ReRhW2 structure, from the Alexandria database.

Geometry as POSCAR:
```
ReRhW2
1.0
4.6083 -1.3851 0.0000
4.6083 1.3851 0.0000
-0.8208 0.0000 4.8230
Re Rh W
1 1 2
Direct
0.0000 0.0000 0.0000
0.5000 0.5000 0.5000
0.2467 0.2467 0.7474
0.7533 0.7533 0.2526
```

SG: C2/m (12)
D(E_F): 3.5 states/eV per cell
magnetic moment: 0.0 μB/cell

=====

x.
The following is a PBE-GGA calculation of a geometry-optimized ReRhW2 structure, from the Alexandria database.

Geometry as POSCAR:
```
ReRhW2
1.0
2.7311 0.0000 0.0000
0.0000 4.0438 0.0000
-0.3895 0.0000 5.5937
Re Rh W
1 1 2
Direct
0.0000 0.0000 0.0000
0.0000 0.0000 0.5000
0.4497 0.5000 0.2509
0.5503 0.5000 0.7491
```

SG: P2/m (10)
D(E_F): 3.3 states/eV per cell
magnetic moment: 0.0 μB/cell

=====

y.
The following is a PBE-GGA calculation of a geometry-optimized ReRhW2 structure, from the Alexandria database.

Geometry as POSCAR:
```
ReRhW2
1.0
3.2958 0.0000 0.0000
0.0000 3.2958 0.0000
0.0000 0.0000 5.7237
Re Rh W
1 1 2
Direct
0.0000 0.0000 0.0000
0.0000 0.0000 0.5000
0.5000 0.5000 0.2487
0.5000 0.5000 0.7513
```

SG: P4/mmm (123)
D(E_F): 5.3 states/eV per cell
magnetic moment: 0.0 μB/cell

=====

z.
The following is a PBE-GGA calculation of a geometry-optimized ReRhW2 structure, from the Alexandria database.

Geometry as POSCAR:
```
ReRhW2
1.0
1.3849 0.7996 9.3384
-1.3849 0.7996 9.3384
0.0000 -1.5991 9.3384
Re Rh W
1 1 2
Direct
0.0000 0.0000 0.0000
0.7472 0.7472 0.7472
0.2488 0.2488 0.2488
0.4933 0.4933 0.4933
```

SG: R3m (160)
D(E_F): 4.8 states/eV per cell
magnetic moment: 0.0 μB/cell

=====

Which structure is the most stable? The one labeled x.